1.
NaHoMgTe3 | PBE | optimized geometry

Summary:
For the density, the calculation gives 5.1 g cm⁻³. The crystal system is orthorhombic. The space-group type is Pnma (62). The size of the total moment comes out at 0.00 μB per atom. The calculation puts the distance to the lowest polymorph of the same formula at 5.4 meV/atom.

Structure (extended XYZ):
```
24
Lattice="14.881 0.000 0.000 0.000 4.404 0.000 0.000 0.000 11.879" Properties=species:S:1:pos:R:3 pbc="T T T"
Na 3.490 1.101 0.772
Na 3.950 3.303 6.711
Na 10.931 1.101 5.168
Na 11.391 3.303 11.108
Ho 0.292 1.101 4.122
Ho 7.149 3.303 10.062
Ho 7.733 1.101 1.817
Ho 14.590 3.303 7.757
Mg 0.204 3.303 1.170
Mg 7.237 1.101 7.109
Mg 7.644 3.303 4.770
Mg 14.678 1.101 10.709
Te 1.526 3.303 10.506
Te 1.636 1.101 6.827
Te 2.182 3.303 3.059
Te 5.259 1.101 8.999
Te 5.804 3.303 0.887
Te 5.915 1.101 4.566
Te 8.966 3.303 7.313
Te 9.077 1.101 10.992
Te 9.623 3.303 2.880
Te 12.700 1.101 8.820
Te 13.245 3.303 5.052
Te 13.356 1.101 1.374
```


2.
TaCdSi | PBE | optimized geometry

Summary:
For the density, the calculation gives 9.2 g cm⁻³. The crystal system is cubic. The space-group type is F-43m (216). The size of the total moment comes out at 0.27 μB per atom. The calculation puts the distance to the lowest polymorph of the same formula at 0.0 meV/atom.

Structure (extended XYZ):
```
3
Lattice="0.000 3.072 3.072 3.072 0.000 3.072 3.072 3.072 0.000" Properties=species:S:1:pos:R:3 pbc="T T T"
Ta 0.000 0.000 0.000
Cd 3.072 3.072 3.072
Si 4.608 4.608 4.608
```


3.
PtSeS | PBE | optimized geometry

Summary:
For the density, the calculation gives 4.3 g cm⁻³. The crystal system is orthorhombic. The space-group type is Cmm2 (35). The size of the total moment comes out at 0.00 μB per atom. The calculation puts the distance to the lowest polymorph of the same formula at 493.0 meV/atom.

Structure (extended XYZ):
```
6
Lattice="1.781 -10.725 0.000 1.781 10.725 0.000 0.000 0.000 6.157" Properties=species:S:1:pos:R:3 pbc="T T T"
Pt 0.000 0.000 0.000
Pt 1.781 0.000 2.812
Se 1.781 1.448 4.994
Se 1.781 -1.448 4.994
S 1.781 9.308 1.984
S 1.781 -9.308 1.984
```


4.
DyEr2Al2Cd4 | PBE | optimized geometry

Summary:
For the density, the calculation gives 8.0 g cm⁻³. The crystal system is orthorhombic. The value obtained for the total energy is -3.13 eV per atom. The space-group type is Amm2 (38). The size of the total moment comes out at 0.00 μB per atom.

Structure (extended XYZ):
```
9
Lattice="4.531 0.000 0.000 0.000 6.316 3.637 0.000 -6.316 3.637" Properties=species:S:1:pos:R:3 pbc="T T T"
Dy 0.000 0.000 0.000
Er 0.000 -2.719 4.692
Er 0.000 2.719 4.692
Al 2.266 -4.204 3.127
Al 2.266 4.204 3.127
Cd 0.000 0.000 3.139
Cd 2.266 -1.593 2.212
Cd 2.266 1.593 2.212
Cd 2.266 0.000 4.962
```


5.
Cs2Dy2Te3O | PBE | optimized geometry

Summary:
For the density, the calculation gives 6.3 g cm⁻³. The crystal system is trigonal. The value obtained for the total energy is -4.66 eV per atom. The space-group type is P3m1 (156). The size of the total moment comes out at 0.00 μB per atom.

Structure (extended XYZ):
```
8
Lattice="4.197 0.000 0.000 -2.099 3.635 0.000 0.000 0.000 17.159" Properties=species:S:1:pos:R:3 pbc="T T T"
Cs 0.000 0.000 0.000
Cs 0.000 2.423 7.835
Dy 2.099 1.212 3.177
Dy 2.099 1.212 12.530
Te 0.000 0.000 5.055
Te 0.000 0.000 10.703
Te 0.000 2.423 14.387
O 0.000 2.423 2.276
```


6.
LaErPBr2 | PBE | optimized geometry

Summary:
For the density, the calculation gives 5.3 g cm⁻³. The crystal system is trigonal. The value obtained for the total energy is -5.43 eV per atom. The space-group type is P3m1 (156). The size of the total moment comes out at 0.00 μB per atom.

Structure (extended XYZ):
```
5
Lattice="4.102 0.000 0.000 -2.051 3.552 0.000 0.000 0.000 10.676" Properties=species:S:1:pos:R:3 pbc="T T T"
La 0.000 0.000 0.000
Er 0.000 2.368 7.525
P 2.051 1.184 8.957
Br 0.000 0.000 5.763
Br 0.000 2.368 1.956
```